Entry 1:
## MnHgS2 (PBE-GGA)

Data for a relaxed MnHgS2 crystal.

Output
Energy relative to the elements, uncorrected (meV per atom): -100.9
Energy relative to the lowest polymorph listed for this composition (kJ/mol of atoms): 29.93
Magnetization (μB/cell): 3.000

Cell lengths 3.7267, 3.7267, 7.6835 Å; angles 90.00, 90.00, 120.00 degrees
Last column: nearest neighbours and their distance in Å.
Element x y z (fractional)
Mn: 0.3333 0.6667 0.4465  4 S 2.08-2.32
Hg: 0.0000 0.0000 0.9581  3 S 2.84
S: 0.6667 0.3333 0.3334  3 Mn 2.32
S: 0.3333 0.6667 0.7170  1 Mn 2.08

***

Entry 2:
## KFeOs4 (PBE-GGA)

Data for a relaxed KFeOs4 crystal.

Output
ΔE_f (kJ per mole of atoms): 111
Magnetization (μB/cell): 2.821

Cell lengths 5.2679, 5.2679, 5.2679 Å; angles 60.00, 60.00, 60.00 degrees
Last column: nearest neighbours and their distance in Å.
Element x y z (fractional)
Os: 0.8732 0.3756 0.3756  6 Os 2.62-2.65
Os: 0.3756 0.3756 0.3756  6 Os 2.62-2.65
Os: 0.3756 0.3756 0.8732  6 Os 2.62-2.65
Os: 0.3756 0.8732 0.3756  6 Os 2.62-2.65
Fe: 0.7500 0.7500 0.7500  12 Os 3.09, 4 K 3.23
K: 0.0000 0.0000 0.0000  12 Os 3.09, 4 Fe 3.23

***

Entry 3:
## K2Ag2Sb (PBE-GGA)

Data for a relaxed K2Ag2Sb crystal.

Output
Energy relative to the elements, uncorrected (meV per atom): -50.9
Energy relative to the lowest polymorph listed for this composition (kJ/mol of atoms): 7.83
Magnetization (μB/cell): 0.000

Cell lengths 3.8482, 3.8482, 11.2054 Å; angles 80.11, 80.11, 90.00 degrees
Last column: nearest neighbours and their distance in Å.
Element x y z (fractional)
K: 0.6082 0.6082 0.7836  4 Sb 3.60, 4 Ag 3.63, 4 K 3.85
K: 0.3918 0.3918 0.2164  4 Sb 3.60, 4 Ag 3.63, 4 K 3.85
Ag: 0.7500 0.2500 0.5000  4 Ag 2.72
Ag: 0.2500 0.7500 0.5000  4 Ag 2.72
Sb: 0.0000 0.0000 0.0000  8 K 3.60, 4 Sb 3.85

***

Entry 4:
## Ac3BiRhCl (PBE-GGA)

Data for a relaxed Ac3BiRhCl crystal.

Output
Energy relative to the elements, uncorrected (meV per atom): -1004.3
Magnetization (μB/cell): 0.001

Cell lengths 4.5584, 9.2772, 10.1042 Å; angles 104.10, 90.00, 90.00 degrees
Last column: nearest neighbours and their distance in Å.
Element x y z (fractional)
Rh: 0.2500 0.6572 0.1497  6 Ac 2.95-3.24
Rh: 0.7500 0.3428 0.8503  6 Ac 2.95-3.24
Bi: 0.7500 0.8253 0.7674  7 Ac 3.53-3.62, 1 Cl 3.80
Bi: 0.2500 0.1747 0.2326  7 Ac 3.53-3.62, 1 Cl 3.80
Ac: 0.7500 0.2663 0.5197  3 Cl 2.96-3.22, 1 Rh 3.24
Ac: 0.2500 0.1307 0.8755  1 Cl 2.89, 2 Rh 3.06
Ac: 0.7500 0.4400 0.1513  3 Rh 2.95-3.04
Ac: 0.2500 0.7337 0.4803  3 Cl 2.96-3.22, 1 Rh 3.24
Ac: 0.2500 0.5600 0.8487  3 Rh 2.95-3.04
Ac: 0.7500 0.8693 0.1245  1 Cl 2.89, 2 Rh 3.06
Cl: 0.2500 0.0907 0.5828  4 Ac 2.89-3.22, 2 Cl 3.08
Cl: 0.7500 0.9093 0.4172  4 Ac 2.89-3.22, 2 Cl 3.08

***

Entry 5:
## NdZn6Pt4 (PBE-GGA)

Data for a relaxed NdZn6Pt4 crystal.

Output
ΔE_f (kJ per mole of atoms): -47
Energy relative to the lowest polymorph listed for this composition (kJ/mol of atoms): 10.79
Magnetization (μB/cell): 0.000

Cell lengths 6.6789, 6.6789, 6.6789 Å; angles 90.37, 119.79, 119.79 degrees
Last column: nearest neighbours and their distance in Å.
Element x y z (fractional)
Pt: 0.3711 0.7639 0.7639  6 Zn 2.48-2.66
Pt: 0.0000 0.2361 0.6072  6 Zn 2.48-2.66
Pt: 0.6289 0.3928 0.3928  6 Zn 2.48-2.66
Pt: 0.0000 0.6072 0.2361  6 Zn 2.48-2.66
Zn: 0.0000 0.5262 0.8730  4 Pt 2.48-2.66
Zn: 0.5000 0.0000 0.5000  4 Pt 2.56
Zn: 0.0000 0.8730 0.5262  4 Pt 2.48-2.66
Zn: 0.6532 0.1270 0.1270  4 Pt 2.48-2.66
Zn: 0.3468 0.4738 0.4738  4 Pt 2.48-2.66
Zn: 0.5000 0.5000 0.0000  4 Pt 2.56
Nd: 0.0000 0.0000 0.0000  4 Pt 3.07, 8 Zn 3.27-3.35

***

Entry 6:
## ThNbP2Ru (PBE-GGA)

Data for a relaxed ThNbP2Ru crystal.

Output
ΔE_f (kJ per mole of atoms): -80
Magnetization (μB/cell): 0.000

Cell lengths 4.2178, 4.2178, 5.8570 Å; angles 111.10, 111.10, 90.00 degrees
Last column: nearest neighbours and their distance in Å.
Element x y z (fractional)
P: 0.6262 0.6262 0.2525  2 Nb 2.45, 2 Ru 2.45, 1 P 2.55
P: 0.3738 0.3738 0.7475  2 Nb 2.45, 2 Ru 2.45, 1 P 2.55
Nb: 0.7500 0.2500 0.5000  4 P 2.45
Th: 0.0000 0.0000 0.0000  8 P 3.24, 4 Nb 3.29, 4 Ru 3.29
Ru: 0.2500 0.7500 0.5000  4 P 2.45

***

Number 1: total DFT energy (no corrections) -4.532 eV/atom. Number 2: total DFT energy (no corrections) -7.932 eV/atom. Number 3: total DFT energy (no corrections) -2.455 eV/atom. Number 4: total DFT energy (no corrections) -5.238 eV/atom. Number 5: total DFT energy (no corrections) -3.810 eV/atom. Number 6: total DFT energy (no corrections) -8.348 eV/atom.